A relaxed structure of CaLuInGa. Source: the Alexandria database, functional PBE.

* formation energy: -0.42 eV/atom
* total energy: -13.971 eV for the cell shown

a b c (Å): 5.2143 5.2143 5.2143
angles (deg): 60.00 60.00 60.00
Fractional coordinates of all 4 atoms:
1 Ca 0.0000 0.0000 0.0000
2 Lu 0.5000 0.5000 0.5000
3 Ga 0.2500 0.2500 0.2500
4 In 0.7500 0.7500 0.7500